The following is a PBE with a Hubbard U calculation of an optimized crystal structure of FeSO2F, from Alexandria.

Unit cell a=3.8404 b=3.8404 c=3.7588 alpha=90.00 beta=90.00 gamma=90.00
With the nearest neighbours (Å) after each atom.
Space group P4/mmm (No. 123)
Symmetry-distinct sites (fractional):
Fe1 0.0000 0.0000 0.0000 x1  2 F 1.88, 4 O 1.92
S1 0.5000 0.5000 0.5000 x1  8 O 2.69, 4 F 2.72
O1 0.0000 0.5000 0.0000 x2  2 Fe 1.92
F1 0.0000 0.0000 0.5000 x1  2 Fe 1.88

Computed properties:
electronic total energy	-21.41	eV per cell
ρ	4161	kg/m3